# TiSi4O10

TiSi4O10 at its PBEsol-relaxed geometry (SCAN, Alexandria).

## Properties
N(E_F), states/eV/f.u.: 0.00
Total energy, eV per atom: -10.807
Symmetry: No. 130

abc: 7.548 7.548 14.016
angles: 90.00 90.00 90.00
Element x y z (fractional)
Ti 0.250 0.250 0.037
Ti 0.250 0.250 0.537
Ti 0.750 0.750 0.463
Ti 0.750 0.750 0.963
Si 0.040 0.040 0.361
Si 0.040 0.040 0.861
Si 0.040 0.460 0.361
Si 0.040 0.460 0.861
Si 0.460 0.040 0.361
Si 0.460 0.040 0.861
Si 0.460 0.460 0.361
Si 0.460 0.460 0.861
Si 0.540 0.540 0.139
Si 0.540 0.540 0.639
Si 0.540 0.960 0.139
Si 0.540 0.960 0.639
Si 0.960 0.540 0.139
Si 0.960 0.540 0.639
Si 0.960 0.960 0.139
Si 0.960 0.960 0.639
O 0.000 0.000 0.250
O 0.000 0.000 0.750
O 0.000 0.500 0.250
O 0.000 0.500 0.750
O 0.009 0.250 0.386
O 0.009 0.250 0.886
O 0.083 0.084 0.074
O 0.083 0.416 0.574
O 0.084 0.083 0.574
O 0.084 0.417 0.074
O 0.250 0.009 0.386
O 0.250 0.009 0.886
O 0.250 0.491 0.386
O 0.250 0.491 0.886
O 0.416 0.083 0.074
O 0.416 0.417 0.574
O 0.417 0.084 0.574
O 0.417 0.416 0.074
O 0.491 0.250 0.386
O 0.491 0.250 0.886
O 0.500 0.000 0.250
O 0.500 0.000 0.750
O 0.500 0.500 0.250
O 0.500 0.500 0.750
O 0.509 0.750 0.114
O 0.509 0.750 0.614
O 0.583 0.584 0.926
O 0.583 0.916 0.426
O 0.584 0.583 0.426
O 0.584 0.917 0.926
O 0.750 0.509 0.114
O 0.750 0.509 0.614
O 0.750 0.991 0.114
O 0.750 0.991 0.614
O 0.916 0.583 0.926
O 0.916 0.917 0.426
O 0.917 0.584 0.426
O 0.917 0.916 0.926
O 0.991 0.750 0.114
O 0.991 0.750 0.614